1.
The following is a PBE calculation of a relaxed structure of PRu, from the Alexandria database.

Cell and atoms, written as extended XYZ:
```
2
Lattice="-0.329 -2.977 -1.690 2.383 0.328 2.458 -1.832 -0.872 1.893" Properties=species:S:1:pos:R:3 pbc="T T T"
Ru 0.000 0.000 0.000
P -0.341 -2.312 0.639
```

Output
As for the electronic total energy: -15.40 eV for the cell shown. The energy above the most stable polymorph in this dataset is 205 meV per atom. The energy of formation from the pure elements is -0.36 eV per atom.

=====

2.
The following is a PBE calculation of a relaxed structure of RbMo4Se8, from the Alexandria database.

Cell and atoms, written as extended XYZ:
```
13
Lattice="-2.092 1.246 2.356 -7.836 0.204 -4.628 -3.618 -8.158 3.538" Properties=species:S:1:pos:R:3 pbc="T T T"
Se -4.287 0.720 0.686
Se -10.536 -0.966 -1.535
Se -9.161 -3.339 0.941
Se -2.863 -5.163 2.625
Se -6.270 -5.124 2.015
Se -4.238 -2.788 0.148
Se -9.110 -6.847 0.405
Se -7.128 -1.001 -0.926
Mo -9.135 -3.086 -1.606
Mo -4.711 -0.439 -1.514
Mo -4.264 -3.042 2.695
Mo -8.686 -5.688 2.605
Rb -4.589 -7.245 4.629
```

Output
As for the electronic total energy: -78.74 eV for the cell shown.

=====

3.
The following is a PBE calculation of a relaxed structure of Mg3Cd2Ag, from the Alexandria database.

Cell and atoms, written as extended XYZ:
```
6
Lattice="3.336 0.000 0.000 0.000 3.336 0.000 0.000 0.000 11.039" Properties=species:S:1:pos:R:3 pbc="T T T"
Cd 1.668 1.668 9.084
Cd 1.668 1.668 1.955
Mg 0.000 0.000 3.881
Mg 0.000 0.000 7.158
Mg 0.000 0.000 0.000
Ag 1.668 1.668 5.519
```

Output
As for the electronic total energy: -10.38 eV for the cell shown. The energy above the most stable polymorph in this dataset is 0 meV per atom. The energy of formation from the pure elements is -0.15 eV per atom.

=====

4.
The following is a PBE calculation of a relaxed structure of PmDy2Tm6, from the Alexandria database.

Cell and atoms, written as extended XYZ:
```
18
Lattice="-2.555 -1.883 -3.841 2.994 -9.722 2.775 -8.543 -0.886 6.116" Properties=species:S:1:pos:R:3 pbc="T T T"
Tm -7.665 -9.112 3.103
Tm -3.966 -2.035 -2.827
Tm -4.137 -10.456 7.877
Tm -5.466 -6.387 3.536
Tm 1.217 -9.056 0.399
Tm -4.838 -8.795 1.067
Tm -1.624 -9.326 2.422
Tm -2.637 -6.104 1.514
Tm -6.479 -3.165 2.628
Tm -9.320 -3.435 4.651
Tm -0.438 -3.378 1.947
Tm -3.265 -3.695 3.983
Dy -3.614 -2.866 0.577
Dy -6.115 -3.968 6.013
Dy -1.988 -8.522 -0.962
Dy -4.489 -9.625 4.473
Pm -4.272 -0.443 3.058
Pm 0.220 -5.802 -0.533
```

Output
As for the electronic total energy: -81.12 eV for the cell shown. The energy above the most stable polymorph in this dataset is 0 meV per atom. The energy of formation from the pure elements is 0.02 eV per atom.

=====

5.
The following is a PBE calculation of a relaxed structure of La2CeWN4, from the Alexandria database.

Cell and atoms, written as extended XYZ:
```
16
Lattice="3.450 0.000 0.000 -1.725 6.104 0.000 0.000 0.000 12.861" Properties=species:S:1:pos:R:3 pbc="T T T"
N 1.725 2.739 11.096
N 0.000 5.235 9.646
N 0.000 0.000 0.000
N 0.000 3.365 4.666
N 0.000 3.365 1.765
N 1.725 0.870 3.215
N 1.725 2.739 8.196
N 0.000 0.000 6.431
La 1.725 1.609 5.937
La 1.725 1.609 0.494
La 0.000 4.495 6.924
La 0.000 4.495 12.368
W 0.000 2.153 3.215
W 1.725 3.951 9.646
Ce 0.000 1.042 9.646
Ce 1.725 5.062 3.215
```

Output
As for the electronic total energy: -139.01 eV for the cell shown.

=====

6.
The following is a PBE calculation of a relaxed structure of TbDy6Sc, from the Alexandria database.

Cell and atoms, written as extended XYZ:
```
8
Lattice="4.973 0.000 0.000 0.000 4.973 0.000 0.000 0.000 9.899" Properties=species:S:1:pos:R:3 pbc="T T T"
Dy 0.000 2.487 7.373
Dy 2.487 2.487 0.000
Dy 0.000 2.487 2.526
Dy 2.487 2.487 4.950
Dy 2.487 0.000 7.373
Dy 2.487 0.000 2.526
Tb 0.000 0.000 0.000
Sc 0.000 0.000 4.950
```

Output
As for the electronic total energy: -38.32 eV for the cell shown. The energy above the most stable polymorph in this dataset is 0 meV per atom. The energy of formation from the pure elements is 0.03 eV per atom.

=====

7.
The following is a PBE calculation of a relaxed structure of SrBr, from the Alexandria database.

Cell and atoms, written as extended XYZ:
```
4
Lattice="4.486 0.000 -0.001 0.000 4.356 0.000 -2.197 0.000 8.415" Properties=species:S:1:pos:R:3 pbc="T T T"
Br 0.838 2.178 1.564
Br 3.078 0.000 4.078
Sr 3.082 0.000 0.947
Sr -1.357 2.178 6.244
```

Output
As for the electronic total energy: -12.48 eV for the cell shown.

=====

Among the records above, which one has the highest electronic total energy?
Mg3Cd2Ag